No. 1
The following is a DFT calculation (PBE) of ErThZnSi after structural relaxation.

Properties
For the size of the total moment, the calculation gives 0.00 Bohr magnetons per cell. The total energy is -80.56 eV/cell. The uncorrected formation energy is -0.37 eV/atom.

a b c (Å): 7.1529 7.1529 7.1529
angles (deg): 90.00 90.00 90.00
Space group F-43m (No. 216)
Asymmetric unit:
Er 0.0000 0.0000 0.0000 [4 per cell]
Th 0.0000 0.0000 0.5000 [4 per cell]
Zn 0.2500 0.2500 0.2500 [4 per cell]
Si 0.2500 0.2500 0.7500 [4 per cell]



No. 2
The following is a DFT calculation (PBE) of EuHo3Os after structural relaxation.

Properties
For the size of the total moment, the calculation gives 7.27 Bohr magnetons per cell. The total energy is -35.68 eV/cell. As for the formation energy: -0.09 eV per atom.

a b c (Å): 5.4567 5.4567 5.4567
angles (deg): 90.00 90.00 90.00
Space group Pm-3m (No. 221)
Asymmetric unit:
Eu 0.0000 0.0000 0.0000 [1 per cell]
Ho 0.0000 0.5000 0.5000 [3 per cell]
Os 0.5000 0.5000 0.5000 [1 per cell]



No. 3
The following is a DFT calculation (PBE) of Cs7Au2IO2 after structural relaxation.

Properties
For the size of the total moment, the calculation gives 0.24 Bohr magnetons per cell. The total energy is -67.76 eV/cell. The uncorrected formation energy is -0.82 eV/atom.

a b c (Å): 6.4319 24.5181 7.5166
angles (deg): 90.00 90.00 90.00
Space group Imm2 (No. 44)
Asymmetric unit:
Cs 0.0000 0.0000 0.0000 [2 per cell]
Cs 0.0000 0.0949 0.4715 [4 per cell]
Cs 0.0000 0.2081 0.9069 [4 per cell]
Cs 0.0000 0.3928 0.3716 [4 per cell]
Au 0.0000 0.2396 0.4022 [4 per cell]
I 0.0000 0.5000 0.8282 [2 per cell]
O 0.0000 0.0989 0.8187 [4 per cell]